An optimized crystal structure of Tb2LuGe4Pd4. Source: the Open Quantum Materials Database, functional PBE.

Lattice parameters (Å, degrees): 8.1219 8.1219 8.1219 150.05 128.32 60.89
Fractional positions:
Tb 0.1260 0.1260 0.0000
Tb 0.8740 0.8740 0.0000
Lu 0.5000 0.0000 0.5000
Ge 0.1909 0.5000 0.6909
Ge 0.2830 0.7830 0.5000
Ge 0.7170 0.2170 0.5000
Ge 0.8091 0.5000 0.3091
Pd 0.1254 0.3255 0.8000
Pd 0.4745 0.6745 0.8000
Pd 0.5255 0.3255 0.2000
Pd 0.8746 0.6745 0.2000

Computed properties:
Spin magnetization ... 0.00 μB/atom
Volume ... 208 Å³/cell
Density ... 9.65 Mg/m³
Uncorrected energy ... -5.694 eV/atom